A plane-wave DFT calculation with PBE-GGA was carried out for crystalline Pr7Sm2Er3 at its relaxed geometry.

Calculated values
Space-group type: P2/m, No. 10
Distance to the lowest polymorph of the same formula: 0.00 eV per formula unit
Calculated total energy: -55.792 eV per formula unit
Formation enthalpy at 0 K: 0.8 eV/f.u.
Spin magnetization: 0.00 μB per cell

a = 3.591 Å, b = 6.532 Å, c = 18.267 Å
α = 74.90°, β = 90.00°, γ = 90.00°
Sites, in units of the cell vectors:
Pr  0.500  0.236  0.506
Pr  0.500  0.764  0.494
Pr  0.000  0.555  0.166
Pr  0.000  0.000  0.000
Pr  0.000  0.445  0.834
Pr  0.500  0.945  0.828
Pr  0.500  0.055  0.172
Sm  0.500  0.611  0.330
Sm  0.500  0.389  0.670
Er  0.500  0.500  0.000
Er  0.000  0.116  0.341
Er  0.000  0.884  0.659

=====

A plane-wave DFT calculation with PBE-GGA was carried out for crystalline Pr4Sm4Er at its relaxed geometry.

Calculated values
Space-group type: P-1, No. 2
Distance to the lowest polymorph of the same formula: 0.02 eV per formula unit
Calculated total energy: -42.409 eV per formula unit
Formation enthalpy at 0 K: 0.1 eV/f.u.
Spin magnetization: 0.00 μB per cell

a = 5.176 Å, b = 8.161 Å, c = 9.646 Å
α = 53.85°, β = 74.47°, γ = 71.58°
Sites, in units of the cell vectors:
Pr  0.278  0.110  0.333
Pr  0.722  0.890  0.667
Pr  0.835  0.330  0.000
Pr  0.165  0.670  0.000
Sm  0.610  0.449  0.332
Sm  0.945  0.775  0.334
Sm  0.390  0.551  0.668
Sm  0.055  0.225  0.666
Er  0.500  0.000  0.000

=====

- Look up the distance to the lowest polymorph of the same formula of the second one.
  0.02 eV per formula unit

=====

What did the second record say?
A plane-wave DFT calculation with PBE-GGA was carried out for crystalline Pr4Sm4Er at its relaxed geometry.

Calculated values
Space-group type: P-1, No. 2
Distance to the lowest polymorph of the same formula: 0.02 eV per formula unit
Calculated total energy: -42.409 eV per formula unit
Formation enthalpy at 0 K: 0.1 eV/f.u.
Spin magnetization: 0.00 μB per cell

a = 5.176 Å, b = 8.161 Å, c = 9.646 Å
α = 53.85°, β = 74.47°, γ = 71.58°
Sites, in units of the cell vectors:
Pr  0.278  0.110  0.333
Pr  0.722  0.890  0.667
Pr  0.835  0.330  0.000
Pr  0.165  0.670  0.000
Sm  0.610  0.449  0.332
Sm  0.945  0.775  0.334
Sm  0.390  0.551  0.668
Sm  0.055  0.225  0.666
Er  0.500  0.000  0.000

=====

Copy entry 2 word for word.
A plane-wave DFT calculation with PBE-GGA was carried out for crystalline Pr4Sm4Er at its relaxed geometry.

Calculated values
Space-group type: P-1, No. 2
Distance to the lowest polymorph of the same formula: 0.02 eV per formula unit
Calculated total energy: -42.409 eV per formula unit
Formation enthalpy at 0 K: 0.1 eV/f.u.
Spin magnetization: 0.00 μB per cell

a = 5.176 Å, b = 8.161 Å, c = 9.646 Å
α = 53.85°, β = 74.47°, γ = 71.58°
Sites, in units of the cell vectors:
Pr  0.278  0.110  0.333
Pr  0.722  0.890  0.667
Pr  0.835  0.330  0.000
Pr  0.165  0.670  0.000
Sm  0.610  0.449  0.332
Sm  0.945  0.775  0.334
Sm  0.390  0.551  0.668
Sm  0.055  0.225  0.666
Er  0.500  0.000  0.000